{
  "formula": "HgBSb3",
  "functional": "PBE",
  "state": "optimized geometry",
  "m_tot_mub_per_fu": 0.00,
  "final_energy_ev_per_cell": -15.80,
  "n_ef_per_ev_atom": 0.650,
  "e_above_lowest_polymorph_ev_per_fu": 0.00,
  "vol_a3_per_atom": 23.79,
  "lattice": [[4.9177, 0.0000, 0.0000], [0.0000, 4.9177, 0.0000], [0.0000, 0.0000, 4.9177]],
  "species": ["Hg", "B", "Sb", "Sb", "Sb"],
  "frac_coords": [[0.0000, 0.0000, 0.0000], [0.5000, 0.5000, 0.5000], [0.0000, 0.5000, 0.5000], [0.5000, 0.0000, 0.5000], [0.5000, 0.5000, 0.0000]]
}